[1]
An optimized crystal structure of Mn2GaReSe, computed with PBE-GGA.

The space group is Cm (No. 8) and the conventional cell measures 8.783, 2.958 and 6.721 Å, with angles of 90.00, 121.75 and 90.00 degrees. Symmetry generates all atoms from Mn at (0.000, 0.000, 0.000), Mn at (0.187, 0.000, 0.781), Ga at (0.117, 0.500, 0.428), Re at (0.417, 0.000, 0.648) and Se at (0.269, 0.500, 0.104).

The calculation puts the calculated total energy at -73.0 eV per cell. Its uncorrected formation energy is 157 meV per atom.

***

[2]
An optimized crystal structure of Mn2GaReSe, computed with PBE-GGA.

The space group is Cm (No. 8) and the conventional cell measures 8.285, 2.885 and 6.631 Å, with angles of 90.00, 103.52 and 90.00 degrees. Symmetry generates all atoms from Mn at (0.000, 0.000, 0.000), Mn at (0.243, 0.000, 0.824), Ga at (0.263, 0.500, 0.191), Re at (0.073, 0.000, 0.383) and Se at (0.487, 0.000, 0.647).

The calculation puts the calculated total energy at -71.8 eV per cell. Its uncorrected formation energy is 277 meV per atom.